# 1
! Ac7Tl2Pd2 (PBE-GGA, relaxed); values from VASP
&SYSTEM
  ibrav = 0, nat = 11, ntyp = 3
/
ATOMIC_SPECIES
Ac 227.00 Ac.upf
Tl 204.38 Tl.upf
Pd 106.42 Pd.upf
CELL_PARAMETERS angstrom
4.187 0.000 0.898
1.062 9.139 5.258
-0.083 -0.002 10.596
ATOMIC_POSITIONS angstrom
Ac 0.597 1.433 7.426
Ac 3.142 9.036 5.767
Ac 3.037 4.592 6.260
Tl 3.964 7.926 12.145
Ac 2.372 6.485 9.359
Ac 3.495 0.592 4.122
Ac 1.416 6.514 13.817
Ac 4.046 3.533 11.762
Pd 2.413 3.209 9.170
Pd 0.793 6.993 6.511
Tl 1.447 3.171 3.463
! energy of formation from the pure elements: -371.8 meV per atom
! raw total energy: -48.0 eV per cell
! space-group type: No. 44
! V: 406.2 Å³ per cell

# 2
! CuSnAs2Br (PBE-GGA, relaxed); values from VASP
&SYSTEM
  ibrav = 0, nat = 5, ntyp = 4
/
ATOMIC_SPECIES
Sn 118.71 Sn.upf
Cu 63.55 Cu.upf
As 74.92 As.upf
Br 79.90 Br.upf
CELL_PARAMETERS angstrom
-0.643 -3.618 -2.870
4.594 -0.794 -0.029
-0.561 -3.404 4.418
ATOMIC_POSITIONS angstrom
Sn 1.695 -3.908 0.760
Cu 0.000 0.000 0.000
As -0.322 -1.809 -1.435
As 2.297 -0.397 -0.014
Br -0.280 -1.702 2.209
! raw total energy: -17.3 eV per cell
! space-group type: No. 123
! formation energy (no corrections): 362 meV/atom
! V: 121.9 Å³ per cell

# 3
! K2InCo (PBE-GGA, relaxed); values from VASP
&SYSTEM
  ibrav = 0, nat = 4, ntyp = 3
/
ATOMIC_SPECIES
K 39.10 K.upf
In 114.82 In.upf
Co 58.93 Co.upf
CELL_PARAMETERS angstrom
6.474 0.028 0.000
3.272 5.586 0.000
-4.873 -2.807 3.207
ATOMIC_POSITIONS angstrom
K 0.000 0.000 0.000
In 3.237 0.014 1.604
K 4.873 2.807 0.000
Co 1.636 2.793 1.604
! energy of formation from the pure elements: 718.9 meV per atom
! raw total energy: -9.2 eV per cell
! space-group type: No. 139
! V: 115.7 Å³ per cell

# 4
! NdDy2Y4Er2 (PBE-GGA, relaxed); values from VASP
&SYSTEM
  ibrav = 0, nat = 9, ntyp = 4
/
ATOMIC_SPECIES
Y 88.91 Y.upf
Nd 144.24 Nd.upf
Er 167.26 Er.upf
Dy 162.50 Dy.upf
CELL_PARAMETERS angstrom
-2.471 -1.450 -2.170
7.748 -4.841 -2.613
-4.618 -3.495 7.594
ATOMIC_POSITIONS angstrom
Y -0.222 -6.547 1.649
Nd 0.000 0.000 0.000
Y -2.541 -2.109 1.326
Y 3.199 -7.678 1.485
Er -3.664 -6.091 5.264
Y 0.880 -3.239 1.162
Dy 1.807 -5.799 -1.161
Er 4.322 -3.695 -2.453
Dy -1.149 -3.987 3.972
! energy of formation from the pure elements: 0.8 meV per atom
! raw total energy: -48.9 eV per cell
! space-group type: No. 12
! V: 288.5 Å³ per cell

# 5
! NaCa3Pt (PBE-GGA, relaxed); values from VASP
&SYSTEM
  ibrav = 0, nat = 10, ntyp = 3
/
ATOMIC_SPECIES
Na 22.99 Na.upf
Pt 195.08 Pt.upf
Ca 40.08 Ca.upf
CELL_PARAMETERS angstrom
-4.326 1.845 7.175
3.224 -1.306 2.279
0.389 9.586 4.939
ATOMIC_POSITIONS angstrom
Na 2.863 8.265 8.117
Pt 0.973 0.257 6.204
Ca -0.603 8.438 9.323
Ca -0.093 4.790 10.306
Pt -2.499 6.452 10.869
Ca 2.049 3.172 6.353
Na 0.331 6.187 6.721
Ca -0.533 7.857 12.688
Ca 0.751 1.694 3.547
Ca -1.432 1.920 6.766
! energy of formation from the pure elements: -455.8 meV per atom
! raw total energy: -31.3 eV per cell
! space-group type: No. 11
! V: 320.1 Å³ per cell

# 6
! LiAc2Ni3As4 (PBE-GGA, relaxed); values from VASP
&SYSTEM
  ibrav = 0, nat = 10, ntyp = 4
/
ATOMIC_SPECIES
Ac 227.00 Ac.upf
Li 6.94 Li.upf
As 74.92 As.upf
Ni 58.69 Ni.upf
CELL_PARAMETERS angstrom
-3.008 1.306 2.897
-3.067 -2.239 -2.176
1.857 -7.857 5.468
ATOMIC_POSITIONS angstrom
Ac -0.142 -7.009 3.011
Li -2.109 -4.395 3.095
As -3.038 -0.467 0.361
As -0.853 -4.000 0.917
Ni 0.928 -3.929 2.734
As 0.000 0.000 0.000
Ac -1.039 -1.315 2.818
As -0.328 -4.324 4.912
Ni 0.149 -6.343 6.317
Ni -1.330 -1.981 -0.488
! energy of formation from the pure elements: -860.6 meV per atom
! raw total energy: -54.7 eV per cell
! space-group type: No. 115
! V: 186.7 Å³ per cell

# 7
! Y2NpGa2Ru5 (PBE-GGA, relaxed); values from VASP
&SYSTEM
  ibrav = 0, nat = 20, ntyp = 4
/
ATOMIC_SPECIES
Y 88.91 Y.upf
Ru 101.07 Ru.upf
Ga 69.72 Ga.upf
Np 237.00 Np.upf
CELL_PARAMETERS angstrom
3.417 0.000 0.000
0.000 10.138 0.000
0.000 0.000 10.138
ATOMIC_POSITIONS angstrom
Y 0.000 1.713 3.356
Ru 1.708 0.674 8.133
Ru 1.708 5.743 7.074
Ga 0.000 1.295 6.364
Ga 0.000 8.842 3.774
Y 0.000 6.782 1.713
Ru 1.708 8.133 9.464
Ru 1.708 2.005 0.674
Ru 1.708 9.464 2.005
Ru 1.708 4.395 3.064
Ru 1.708 5.069 0.000
Y 0.000 3.356 8.425
Ga 0.000 6.364 8.842
Ru 1.708 3.064 5.743
Ga 0.000 3.774 1.295
Ru 1.708 7.074 4.395
Np 0.000 5.069 5.069
Np 0.000 0.000 0.000
Ru 1.708 0.000 5.069
Y 0.000 8.425 6.782
! energy of formation from the pure elements: -374.7 meV per atom
! raw total energy: -164.1 eV per cell
! space-group type: No. 127
! V: 351.1 Å³ per cell

# 8
! MnReTe2N (PBE-GGA, relaxed); values from VASP
&SYSTEM
  ibrav = 0, nat = 5, ntyp = 4
/
ATOMIC_SPECIES
Re 186.21 Re.upf
N 14.01 N.upf
Te 127.60 Te.upf
Mn 54.94 Mn.upf
CELL_PARAMETERS angstrom
5.168 0.000 0.000
0.000 5.168 0.000
0.000 0.000 3.411
ATOMIC_POSITIONS angstrom
Re 2.584 2.584 1.705
N 0.000 0.000 1.705
Te 0.000 2.584 0.000
Te 2.584 0.000 0.000
Mn 0.000 0.000 0.000
! raw total energy: -32.1 eV per cell
! space-group type: No. 123
! formation energy (no corrections): 825 meV/atom
! V: 91.1 Å³ per cell